Density functional theory data (PBE) for Si3C5 after structural relaxation.

Its energy above the most stable polymorph in this dataset is 0.990 eV/atom. The calculation puts the total energy at -6.09 eV per atom. For the formation energy without anion corrections, the calculation gives 1.710 eV per atom.

It has space group Cmmm (No. 65), with a = 5.188 Å, b = 10.379 Å, c = 2.648 Å, α = 90.00°, β = 90.00° and γ = 90.00°. Symmetry generates all atoms from Si at (0.000, 0.000, 0.000), Si at (0.000, 0.325, 0.500), C at (0.000, 0.500, 0.000), C at (0.230, 0.500, 0.500) and C at (0.250, 0.250, 0.000).